No. 1
! AcLa2Mg PBE-GGA optimized geometry; values from VASP
&SYSTEM
  ibrav = 0, nat = 4, ntyp = 3
/
ATOMIC_SPECIES
Ac 227.00 Ac.upf
Mg 24.30 Mg.upf
La 138.91 La.upf
CELL_PARAMETERS angstrom
-0.3550 -2.9856 -2.1289
2.8407 -1.1549 -2.0417
4.8557 -8.8791 8.4549
ATOMIC_POSITIONS angstrom
Ac 3.6707 -6.5098 2.1422
Mg 0.0000 0.0000 0.0000
La 3.7929 -6.9001 5.8567
La 3.5485 -6.1195 -1.5723
! SG: No. 166
! Excess energy over the best structure of this formula in the dataset in kcal/mol of atoms: 6.521
! Density of states at the Fermi level in states/eV per atom: 1.27
! DFT formation energy in eV per atom: 0.2323

No. 2
! Ac3LaMg PBE-GGA optimized geometry; values from VASP
&SYSTEM
  ibrav = 0, nat = 10, ntyp = 3
/
ATOMIC_SPECIES
Ac 227.00 Ac.upf
La 138.91 La.upf
Mg 24.30 Mg.upf
CELL_PARAMETERS angstrom
4.0377 0.3698 0.0000
1.0988 10.2088 0.0000
0.0000 0.0000 10.4341
ATOMIC_POSITIONS angstrom
Ac 0.7327 3.1432 10.3545
Ac 4.4038 7.4354 0.0795
Ac 0.7327 3.1432 5.2966
Ac 4.4038 7.4354 5.1375
Ac 2.1883 9.3532 7.8256
Ac 2.9482 1.2254 2.6085
La 2.5520 5.5170 7.8256
La 2.5845 5.0615 2.6085
Mg 2.8596 2.0801 7.8256
Mg 2.2769 8.4985 2.6085
! SG: No. 11
! Excess energy over the best structure of this formula in the dataset in kcal/mol of atoms: 2.918
! Density of states at the Fermi level in states/eV per atom: 1.33
! DFT formation energy in eV per atom: 0.1526